# 1
First-principles (GGA-PBE) data for a relaxed structure of TbPm8Er5, as listed in Alexandria. Values from VASP.

Results
V (Å³/f.u.): 475.7
Formation energy from the elements (eV per atom): 0.2516
Total magnetic moment (μB/atom): 0.00

Quantum ESPRESSO input file:
```
&SYSTEM
  ibrav = 0, nat = 14, ntyp = 3
/
ATOMIC_SPECIES
Tb 158.93 Tb.upf
Pm 145.00 Pm.upf
Er 167.26 Er.upf
CELL_PARAMETERS angstrom
-6.6728 -3.4873 3.9990
0.4465 -2.6020 -8.1061
6.8955 -2.4045 4.3989
ATOMIC_POSITIONS crystal
Tb 0.2500 0.5000 0.7500
Pm 0.1639 0.7337 0.0759
Pm 0.9241 0.0880 0.6578
Pm 0.7298 0.2577 0.3342
Pm 0.6658 0.3956 0.9235
Pm 0.5279 0.6044 0.2702
Pm 0.5697 0.9120 0.8361
Pm 0.3422 0.2663 0.4303
Pm 0.0765 0.7423 0.4721
Er 0.0359 0.3138 0.1312
Er 0.8688 0.9047 0.1826
Er 0.8174 0.6862 0.7221
Er 0.5000 0.0000 0.5000
Er 0.2779 0.0953 0.9641
```

# 2
First-principles (GGA-PBE) data for a relaxed structure of Ba5SrMg3, as listed in Alexandria. Values from VASP.

Results
V (Å³/f.u.): 425.8
Formation energy from the elements (eV per atom): 0.0137
Total magnetic moment (μB/atom): 0.00

Quantum ESPRESSO input file:
```
&SYSTEM
  ibrav = 0, nat = 18, ntyp = 3
/
ATOMIC_SPECIES
Ba 137.33 Ba.upf
Sr 87.62 Sr.upf
Mg 24.30 Mg.upf
CELL_PARAMETERS angstrom
-3.0782 7.2064 -1.2915
-10.2211 -4.3959 -0.1672
4.3602 3.5811 9.5902
ATOMIC_POSITIONS crystal
Ba 0.0000 0.6666 0.3333
Ba 0.5000 0.3334 0.6667
Ba 0.0000 0.3334 0.6667
Ba 0.5000 0.6666 0.3333
Ba 0.7500 0.6695 0.6695
Ba 0.7500 0.0000 0.3305
Ba 0.7500 0.3305 0.0000
Ba 0.2500 0.3305 0.3305
Ba 0.2500 0.0000 0.6695
Ba 0.2500 0.6695 0.0000
Sr 0.0000 0.0000 0.0000
Sr 0.5000 0.0000 0.0000
Mg 0.7500 0.3330 0.3330
Mg 0.7500 0.0000 0.6670
Mg 0.7500 0.6670 0.0000
Mg 0.2500 0.6670 0.6670
Mg 0.2500 0.0000 0.3330
Mg 0.2500 0.3330 0.0000
```

# 3
First-principles (GGA-PBE) data for a relaxed structure of CrC5, as listed in Alexandria. Values from VASP.

Results
V (Å³/f.u.): 43.2
Formation energy from the elements (eV per atom): 2.8543
Total magnetic moment (μB/atom): 0.28

Quantum ESPRESSO input file:
```
&SYSTEM
  ibrav = 0, nat = 6, ntyp = 2
/
ATOMIC_SPECIES
Cr 52.00 Cr.upf
C 12.01 C.upf
CELL_PARAMETERS angstrom
2.2838 -3.9556 0.0000
2.2838 3.9556 0.0000
0.0000 0.0000 2.3926
ATOMIC_POSITIONS crystal
Cr 0.0000 0.0000 0.0000
C 0.3333 0.6667 0.0000
C 0.6667 0.3333 0.0000
C 0.5000 0.0000 0.5000
C 0.0000 0.5000 0.5000
C 0.5000 0.5000 0.5000
```

# 4
First-principles (GGA-PBE) data for a relaxed structure of AlTlPb3, as listed in Alexandria. Values from VASP.

Results
V (Å³/f.u.): 168.8
Formation energy from the elements (eV per atom): 0.3251
Total magnetic moment (μB/atom): 0.00

Quantum ESPRESSO input file:
```
&SYSTEM
  ibrav = 0, nat = 5, ntyp = 3
/
ATOMIC_SPECIES
Pb 207.20 Pb.upf
Tl 204.38 Tl.upf
Al 26.98 Al.upf
CELL_PARAMETERS angstrom
-3.7174 -0.4188 4.0681
-3.8484 -1.5019 -3.6713
1.3837 -5.3022 0.7186
ATOMIC_POSITIONS crystal
Pb 0.0000 0.5000 0.0000
Pb 0.0000 0.0000 0.5000
Pb 0.5000 0.0000 0.0000
Tl 0.5000 0.5000 0.5000
Al 0.0000 0.0000 0.0000
```

# 5
First-principles (GGA-PBE) data for a relaxed structure of LaAlZnAg, as listed in Alexandria. Values from VASP.

Results
V (Å³/f.u.): 86.3
Formation energy from the elements (eV per atom): -0.3026
Total magnetic moment (μB/atom): 0.00

Quantum ESPRESSO input file:
```
&SYSTEM
  ibrav = 0, nat = 4, ntyp = 4
/
ATOMIC_SPECIES
Zn 65.41 Zn.upf
Al 26.98 Al.upf
Ag 107.87 Ag.upf
La 138.91 La.upf
CELL_PARAMETERS angstrom
4.9595 0.0000 0.0000
2.4797 4.2950 0.0000
2.4797 1.4317 4.0494
ATOMIC_POSITIONS crystal
Zn 0.7500 0.7500 0.7500
Al 0.5000 0.5000 0.5000
Ag 0.2500 0.2500 0.2500
La 0.0000 0.0000 0.0000
```

# 6
First-principles (GGA-PBE) data for a relaxed structure of PaAl3Pt, as listed in Alexandria. Values from VASP.

Results
V (Å³/f.u.): 94.9
Formation energy from the elements (eV per atom): -0.6566
Total magnetic moment (μB/atom): 0.09

Quantum ESPRESSO input file:
```
&SYSTEM
  ibrav = 0, nat = 5, ntyp = 3
/
ATOMIC_SPECIES
Pa 231.04 Pa.upf
Al 26.98 Al.upf
Pt 195.08 Pt.upf
CELL_PARAMETERS angstrom
-5.5413 -2.4644 -0.5603
-3.8852 -0.1203 4.6887
3.6179 3.9462 -2.9037
ATOMIC_POSITIONS crystal
Pa 0.6116 0.6116 0.0000
Al 0.8528 0.3528 0.5000
Al 0.3528 0.8528 0.5000
Al 0.2007 0.2007 0.0000
Pt 0.9752 0.9752 0.0000
```

# 7
First-principles (GGA-PBE) data for a relaxed structure of TbPr4Dy2Mg, as listed in Alexandria. Values from VASP.

Results
V (Å³/f.u.): 263.8
Formation energy from the elements (eV per atom): 0.0487
Total magnetic moment (μB/atom): 0.00

Quantum ESPRESSO input file:
```
&SYSTEM
  ibrav = 0, nat = 8, ntyp = 4
/
ATOMIC_SPECIES
Tb 158.93 Tb.upf
Pr 140.91 Pr.upf
Dy 162.50 Dy.upf
Mg 24.30 Mg.upf
CELL_PARAMETERS angstrom
-5.3853 1.8344 -1.2582
-1.5784 -5.4775 -1.2304
-3.6698 -6.5401 6.1717
ATOMIC_POSITIONS crystal
Tb 0.5000 0.5000 0.0000
Pr 0.0000 0.7608 0.7391
Pr 0.0000 0.2392 0.2609
Pr 0.5000 0.7379 0.2620
Pr 0.5000 0.2621 0.7380
Dy 0.0000 0.0000 0.0000
Dy 0.5000 0.0000 0.5000
Mg 0.0000 0.5000 0.5000
```

# 8
First-principles (GGA-PBE) data for a relaxed structure of AlAsPb, as listed in Alexandria. Values from VASP.

Results
V (Å³/f.u.): 73.1
Formation energy from the elements (eV per atom): 0.0245
Total magnetic moment (μB/atom): 0.00

Quantum ESPRESSO input file:
```
&SYSTEM
  ibrav = 0, nat = 3, ntyp = 3
/
ATOMIC_SPECIES
Pb 207.20 Pb.upf
As 74.92 As.upf
Al 26.98 Al.upf
CELL_PARAMETERS angstrom
6.3311 0.0087 -0.0094
5.3347 3.4110 -0.0015
0.9964 0.2872 3.3902
ATOMIC_POSITIONS crystal
Pb 0.3509 0.3509 0.6491
As 0.6075 0.6075 0.3925
Al 0.0416 0.0416 0.9584
```

# 9
First-principles (GGA-PBE) data for a relaxed structure of VCrC2, as listed in Alexandria. Values from VASP.

Results
V (Å³/f.u.): 35.0
Formation energy from the elements (eV per atom): -0.1167
Total magnetic moment (μB/atom): 0.18

Quantum ESPRESSO input file:
```
&SYSTEM
  ibrav = 0, nat = 4, ntyp = 3
/
ATOMIC_SPECIES
Cr 52.00 Cr.upf
C 12.01 C.upf
V 50.94 V.upf
CELL_PARAMETERS angstrom
-0.6272 -1.5390 4.7388
2.1769 -0.7539 4.4622
0.1184 1.2872 4.8526
ATOMIC_POSITIONS crystal
Cr 0.5000 0.5000 0.5000
C 0.2486 0.2486 0.2486
C 0.7514 0.7514 0.7514
V 0.0000 0.0000 0.0000
```

# 10
First-principles (GGA-PBE) data for a relaxed structure of Li4Cd2P, as listed in Alexandria. Values from VASP.

Results
V (Å³/f.u.): 153.8
Formation energy from the elements (eV per atom): -0.2021
Total magnetic moment (μB/atom): 0.00

Quantum ESPRESSO input file:
```
&SYSTEM
  ibrav = 0, nat = 7, ntyp = 3
/
ATOMIC_SPECIES
P 30.97 P.upf
Li 6.94 Li.upf
Cd 112.41 Cd.upf
CELL_PARAMETERS angstrom
-4.0700 -0.4470 2.1690
2.1775 0.0194 4.0899
-1.5701 6.9147 3.4278
ATOMIC_POSITIONS crystal
P 0.0000 0.0000 0.0000
Li 0.1683 0.1683 0.6635
Li 0.8317 0.8317 0.3365
Li 0.0000 0.5000 0.0000
Li 0.5000 0.0000 0.0000
Cd 0.3626 0.3626 0.2749
Cd 0.6374 0.6374 0.7251
```

# 11
First-principles (GGA-PBE) data for a relaxed structure of MgTc2Se, as listed in Alexandria. Values from VASP.

Results
V (Å³/f.u.): 63.2
Formation energy from raw total energies (eV per atom): 0.3036
Total magnetic moment (μB/atom): 0.00

Quantum ESPRESSO input file:
```
&SYSTEM
  ibrav = 0, nat = 4, ntyp = 3
/
ATOMIC_SPECIES
Mg 24.30 Mg.upf
Se 78.96 Se.upf
Tc 98.00 Tc.upf
CELL_PARAMETERS angstrom
-2.7303 -3.5029 0.5255
0.6545 -2.8585 3.3766
-2.8687 -0.1044 3.4293
ATOMIC_POSITIONS crystal
Mg 0.5000 0.5000 0.5000
Se 0.7500 0.7500 0.7500
Tc 0.0000 0.0000 0.0000
Tc 0.2500 0.2500 0.2500
```

# 12
First-principles (GGA-PBE) data for a relaxed structure of FeReAu2, as listed in Alexandria. Values from VASP.

Results
V (Å³/f.u.): 62.9
Formation energy from the elements (eV per atom): 0.4339
Total magnetic moment (μB/atom): 0.69

Quantum ESPRESSO input file:
```
&SYSTEM
  ibrav = 0, nat = 4, ntyp = 3
/
ATOMIC_SPECIES
Au 196.97 Au.upf
Fe 55.84 Fe.upf
Re 186.21 Re.upf
CELL_PARAMETERS angstrom
-1.9922 -1.3940 -1.2744
0.7364 -2.2791 1.3417
-5.2911 1.9219 6.1689
ATOMIC_POSITIONS crystal
Au 0.0000 0.0000 0.0095
Au 0.0000 0.0000 0.4905
Fe 0.5000 0.5000 0.2500
Re 0.5000 0.5000 0.7500
```

| no. | calculated total energy (Ry/atom) |
| --- | --- |
| 1 | -0.325 |
| 2 | -0.130 |
| 3 | -0.473 |
| 4 | -0.229 |
| 5 | -0.257 |
| 6 | -0.442 |
| 7 | -0.314 |
| 8 | -0.295 |
| 9 | -0.692 |
| 10 | -0.171 |
| 11 | -0.452 |
| 12 | -0.473 |